Version A
VASP calculation (PBE-GGA) on a geometry-optimized Hf2PdPt2 structure.

Lattice parameters (Å, degrees): 7.6485 7.6485 3.2163 90.00 90.00 90.00
Fractional positions:
Hf  0.1612  0.3388  0.0000
Hf  0.3388  0.8388  0.0000
Hf  0.6612  0.1612  0.0000
Hf  0.8388  0.6612  0.0000
Pd  0.0000  0.0000  0.0000
Pd  0.5000  0.5000  0.0000
Pt  0.1348  0.6348  0.5000
Pt  0.3652  0.1348  0.5000
Pt  0.6348  0.8652  0.5000
Pt  0.8652  0.3652  0.5000

Properties
magnetization: 0.0 μB per formula unit

***

Version B
VASP calculation (PBE-GGA) on a geometry-optimized Hf2PdPt2 structure.

Lattice parameters (Å, degrees): 7.4234 7.4234 3.3376 90.00 90.00 90.00
Fractional positions:
Hf  0.1683  0.3317  0.0000
Hf  0.3317  0.8317  0.0000
Hf  0.6683  0.1683  0.0000
Hf  0.8317  0.6683  0.0000
Pd  0.0000  0.0000  0.5000
Pd  0.5000  0.5000  0.5000
Pt  0.1337  0.6337  0.5000
Pt  0.3663  0.1337  0.5000
Pt  0.6337  0.8663  0.5000
Pt  0.8663  0.3663  0.5000

Properties
magnetization: 0.0 μB per formula unit

***

Version C
VASP calculation (PBE-GGA) on a geometry-optimized Hf2PdPt2 structure.

Lattice parameters (Å, degrees): 4.1578 4.1578 6.1921 90.12 90.12 107.59
Fractional positions:
Hf  0.0033  0.0033  0.2454
Hf  0.9967  0.9967  0.7546
Pd  0.5000  0.5000  0.0000
Pt  0.3087  0.6913  0.5000
Pt  0.6913  0.3087  0.5000

Properties
magnetization: 0.0 μB per formula unit

***

Most stable pick: version B. Distance to second place: 189 meV per atom.

***

Version A
VASP calculation (PBE-GGA) on a geometry-optimized HfPd2Pt5 structure.

Lattice parameters (Å, degrees): 6.9475 6.3551 4.8763 75.14 62.14 42.72
Fractional positions:
Hf  0.0000  0.0000  0.0000
Pd  0.2513  0.2513  0.7487
Pd  0.7487  0.7487  0.2513
Pt  0.1249  0.1249  0.3751
Pt  0.3751  0.3751  0.1249
Pt  0.5000  0.5000  0.5000
Pt  0.6249  0.6249  0.8751
Pt  0.8751  0.8751  0.6249

Properties
magnetization: 0.0 μB per formula unit

***

Version B
VASP calculation (PBE-GGA) on a geometry-optimized HfPd2Pt5 structure.

Lattice parameters (Å, degrees): 5.6529 11.4234 3.9617 90.00 90.00 90.00
Fractional positions:
Hf  0.0000  0.0000  0.0000
Hf  0.5000  0.5000  0.0000
Pd  0.2487  0.1245  0.5000
Pd  0.2513  0.6245  0.5000
Pd  0.7487  0.3755  0.5000
Pd  0.7513  0.8755  0.5000
Pt  0.0000  0.5000  0.0000
Pt  0.0067  0.7566  0.0000
Pt  0.2465  0.3773  0.5000
Pt  0.2535  0.8773  0.5000
Pt  0.4933  0.2566  0.0000
Pt  0.5000  0.0000  0.0000
Pt  0.5067  0.7434  0.0000
Pt  0.7465  0.1227  0.5000
Pt  0.7535  0.6227  0.5000
Pt  0.9933  0.2434  0.0000

Properties
magnetization: 0.0 μB per formula unit

***

Most stable pick: version A. Distance to second place: 7 meV per atom.

***

Version A
VASP calculation (PBE-GGA) on a geometry-optimized HfPd5Pt2 structure.

Lattice parameters (Å, degrees): 5.6552 11.3124 3.9735 90.00 90.00 90.00
Fractional positions:
Hf  0.0000  0.0000  0.0000
Hf  0.5000  0.5000  0.0000
Pd  0.0000  0.5000  0.0000
Pd  0.0041  0.2464  0.0000
Pd  0.2491  0.8746  0.5000
Pd  0.2509  0.3746  0.5000
Pd  0.4959  0.7464  0.0000
Pd  0.5000  0.0000  0.0000
Pd  0.5041  0.2536  0.0000
Pd  0.7491  0.6254  0.5000
Pd  0.7509  0.1254  0.5000
Pd  0.9959  0.7536  0.0000
Pt  0.2502  0.1224  0.5000
Pt  0.2498  0.6224  0.5000
Pt  0.7502  0.3776  0.5000
Pt  0.7498  0.8776  0.5000

Properties
magnetization: 0.0 μB per formula unit

***

Version B
VASP calculation (PBE-GGA) on a geometry-optimized HfPd5Pt2 structure.

Lattice parameters (Å, degrees): 4.7743 4.7843 13.8151 83.24 86.04 60.32
Fractional positions:
Hf  0.0027  0.4125  0.2506
Hf  0.9973  0.5875  0.7494
Pd  0.0040  0.2962  0.5866
Pd  0.0119  0.1885  0.9114
Pd  0.3331  0.7499  0.2491
Pd  0.3368  0.5289  0.9133
Pd  0.3379  0.0301  0.4119
Pd  0.6621  0.9699  0.5881
Pd  0.6632  0.4711  0.0867
Pd  0.6669  0.2501  0.7509
Pd  0.9881  0.8115  0.0886
Pd  0.9960  0.7038  0.4134
Pt  0.3297  0.1428  0.0889
Pt  0.3366  0.6368  0.5908
Pt  0.6634  0.3632  0.4092
Pt  0.6703  0.8572  0.9111

Properties
magnetization: 0.0 μB per formula unit

***

Most stable pick: version A. Distance to second place: 163 meV per atom.

***

Version A
VASP calculation (PBE-GGA) on a geometry-optimized HfPd5Pt4 structure.

Lattice parameters (Å, degrees): 8.1032 8.9195 4.7687 90.00 90.00 90.00
Fractional positions:
Hf  0.2500  0.2500  0.1217
Hf  0.7500  0.7500  0.8783
Pd  0.0861  0.0291  0.7736
Pd  0.0861  0.4709  0.7736
Pd  0.2500  0.7500  0.9191
Pd  0.4139  0.0291  0.7736
Pd  0.4139  0.4709  0.7736
Pd  0.5861  0.5291  0.2264
Pd  0.5861  0.9709  0.2264
Pd  0.7500  0.2500  0.0809
Pd  0.9139  0.5291  0.2264
Pd  0.9139  0.9709  0.2264
Pt  0.0100  0.7500  0.5456
Pt  0.2500  0.5349  0.2956
Pt  0.2500  0.9651  0.2956
Pt  0.4900  0.7500  0.5456
Pt  0.5100  0.2500  0.4544
Pt  0.7500  0.0349  0.7044
Pt  0.7500  0.4651  0.7044
Pt  0.9900  0.2500  0.4544

Properties
magnetization: 0.0 μB per formula unit

***

Version B
VASP calculation (PBE-GGA) on a geometry-optimized HfPd5Pt4 structure.

Lattice parameters (Å, degrees): 7.1577 7.1577 7.0573 118.73 118.73 33.34
Fractional positions:
Hf  0.0000  0.0000  0.0000
Pd  0.0000  0.0000  0.5000
Pd  0.3292  0.3292  0.8911
Pd  0.3315  0.3315  0.2806
Pd  0.6685  0.6685  0.7194
Pd  0.6708  0.6708  0.1089
Pt  0.1790  0.1790  0.4226
Pt  0.4735  0.4735  0.7226
Pt  0.5265  0.5265  0.2774
Pt  0.8210  0.8210  0.5774

Properties
magnetization: 0.0 μB per formula unit

***

Most stable pick: version B. Distance to second place: 77 meV per atom.

***

Version A
VASP calculation (PBE-GGA) on a geometry-optimized HfZnPdPt structure.

Lattice parameters (Å, degrees): 4.5316 4.5316 4.5316 60.00 60.00 60.00
Fractional positions:
Hf  0.0000  0.0000  0.0000
Zn  0.5000  0.5000  0.5000
Pd  0.2500  0.2500  0.2500
Pt  0.7500  0.7500  0.7500

Properties
magnetization: 0.0 μB per formula unit

***

Version B
VASP calculation (PBE-GGA) on a geometry-optimized HfZnPdPt structure.

Lattice parameters (Å, degrees): 4.8179 4.8179 4.8179 129.57 129.57 74.10
Fractional positions:
Hf  0.0000  0.0000  0.0000
Zn  0.5000  0.5000  0.0000
Pd  0.7500  0.2500  0.5000
Pt  0.2500  0.7500  0.5000

Properties
magnetization: 0.0 μB per formula unit

***

Most stable pick: version B. Distance to second place: 11 meV per atom.

***

Version A
VASP calculation (PBE-GGA) on a geometry-optimized RbHfPd2 structure.

Lattice parameters (Å, degrees): 4.9614 4.9614 4.9614 60.00 60.00 60.00
Fractional positions:
Rb  0.0000  0.0000  0.0000
Hf  0.5000  0.5000  0.5000
Pd  0.2500  0.2500  0.2500
Pd  0.7500  0.7500  0.7500

Properties
magnetization: 0.0 μB per formula unit

***

Version B
VASP calculation (PBE-GGA) on a geometry-optimized RbHfPd2 structure.

Lattice parameters (Å, degrees): 6.5824 6.5824 6.5824 107.51 107.51 113.48
Fractional positions:
Rb  0.0000  0.0000  0.0000
Rb  0.7500  0.2500  0.5000
Hf  0.2500  0.7500  0.5000
Hf  0.5000  0.5000  0.0000
Pd  0.1912  0.6250  0.0662
Pd  0.3750  0.4412  0.5662
Pd  0.5588  0.1250  0.9338
Pd  0.8750  0.8088  0.4338

Properties
magnetization: 0.0 μB per formula unit

***

Most stable pick: version B. Distance to second place: 65 meV per atom.

***

Version A
VASP calculation (PBE-GGA) on a geometry-optimized RbHfPd3 structure.

Lattice parameters (Å, degrees): 5.0965 5.0965 5.0965 90.00 90.00 90.00
Fractional positions:
Rb  0.0000  0.0000  0.0000
Hf  0.5000  0.5000  0.5000
Pd  0.0000  0.5000  0.5000
Pd  0.5000  0.0000  0.5000
Pd  0.5000  0.5000  0.0000

Properties
magnetization: 0.0 μB per formula unit

***

Version B
VASP calculation (PBE-GGA) on a geometry-optimized RbHfPd3 structure.

Lattice parameters (Å, degrees): 4.9929 4.9929 4.9929 90.00 90.00 90.00
Fractional positions:
Rb  0.0000  0.0000  0.0000
Hf  0.5000  0.5000  0.5000
Pd  0.0000  0.0000  0.5000
Pd  0.0000  0.5000  0.0000
Pd  0.5000  0.0000  0.0000

Properties
magnetization: 1.0 μB per formula unit

***

Most stable pick: version A. Distance to second place: 1320 meV per atom.

***

Version A
VASP calculation (PBE-GGA) on a geometry-optimized Rb2HfPd structure.

Lattice parameters (Å, degrees): 9.5334 9.5334 9.5334 93.89 93.89 149.80
Fractional positions:
Rb  0.3750  0.2176  0.3426
Rb  0.7824  0.1250  0.1574
Rb  0.8750  0.0324  0.6574
Rb  0.9676  0.6250  0.8426
Hf  0.2500  0.7500  0.5000
Hf  0.5000  0.5000  0.0000
Pd  0.0000  0.0000  0.0000
Pd  0.7500  0.2500  0.5000

Properties
magnetization: 0.0 μB per formula unit

***

Version B
VASP calculation (PBE-GGA) on a geometry-optimized Rb2HfPd structure.

Lattice parameters (Å, degrees): 5.8650 5.8650 5.8650 60.00 60.00 60.00
Fractional positions:
Rb  0.2500  0.2500  0.2500
Rb  0.7500  0.7500  0.7500
Hf  0.0000  0.0000  0.0000
Pd  0.5000  0.5000  0.5000

Properties
magnetization: 2.1 μB per formula unit

***

Most stable pick: version A. Distance to second place: 609 meV per atom.

***

Version A
VASP calculation (PBE-GGA) on a geometry-optimized HfRe2Pd structure.

Lattice parameters (Å, degrees): 10.4111 10.4111 10.4111 159.10 159.10 29.72
Fractional positions:
Hf  0.0000  0.0000  0.0000
Hf  0.7500  0.2500  0.5000
Re  0.0892  0.6250  0.9642
Re  0.3750  0.3392  0.4642
Re  0.6608  0.1250  0.0358
Re  0.8750  0.9108  0.5358
Pd  0.2500  0.7500  0.5000
Pd  0.5000  0.5000  0.0000

Properties
magnetization: 0.0 μB per formula unit

***

Version B
VASP calculation (PBE-GGA) on a geometry-optimized HfRe2Pd structure.

Lattice parameters (Å, degrees): 4.5287 4.5287 4.5287 60.00 60.00 60.00
Fractional positions:
Hf  0.0000  0.0000  0.0000
Re  0.2500  0.2500  0.2500
Re  0.7500  0.7500  0.7500
Pd  0.5000  0.5000  0.5000

Properties
magnetization: 0.0 μB per formula unit

***

Most stable pick: version B. Distance to second place: 35 meV per atom.

***

Version A
VASP calculation (PBE-GGA) on a geometry-optimized HfPd3Rh structure.

Lattice parameters (Å, degrees): 4.7724 4.7724 4.7724 90.00 90.00 90.00
Fractional positions:
Hf  0.0000  0.0000  0.0000
Pd  0.0000  0.0000  0.5000
Pd  0.0000  0.5000  0.0000
Pd  0.5000  0.0000  0.0000
Rh  0.5000  0.5000  0.5000

Properties
magnetization: 0.7 μB per formula unit

***

Version B
VASP calculation (PBE-GGA) on a geometry-optimized HfPd3Rh structure.

Lattice parameters (Å, degrees): 4.7350 4.7350 4.7350 90.00 90.00 90.00
Fractional positions:
Hf  0.0000  0.0000  0.0000
Pd  0.0000  0.5000  0.5000
Pd  0.5000  0.0000  0.5000
Pd  0.5000  0.5000  0.0000
Rh  0.5000  0.5000  0.5000

Properties
magnetization: 0.0 μB per formula unit

***

Most stable pick: version A. Distance to second place: 39 meV per atom.

***

Version A
VASP calculation (PBE-GGA) on a geometry-optimized Hf2Pd2Rh structure.

Lattice parameters (Å, degrees): 7.0138 7.0138 7.0138 129.05 70.41 134.85
Fractional positions:
Hf  0.1639  0.2083  0.3723
Hf  0.3361  0.7083  0.0444
Hf  0.6639  0.2917  0.9556
Hf  0.8361  0.7917  0.6278
Pd  0.1066  0.6466  0.7531
Pd  0.3934  0.1466  0.5400
Pd  0.6066  0.8534  0.4600
Pd  0.8934  0.3534  0.2469
Rh  0.2500  0.2500  0.0000
Rh  0.7500  0.7500  0.0000

Properties
magnetization: 0.0 μB per formula unit

***

Version B
VASP calculation (PBE-GGA) on a geometry-optimized Hf2Pd2Rh structure.

Lattice parameters (Å, degrees): 7.3537 7.3537 3.2907 90.00 90.00 90.00
Fractional positions:
Hf  0.1768  0.3232  0.0000
Hf  0.3232  0.8232  0.0000
Hf  0.6768  0.1768  0.0000
Hf  0.8232  0.6768  0.0000
Pd  0.1280  0.6280  0.5000
Pd  0.3720  0.1280  0.5000
Pd  0.6280  0.8720  0.5000
Pd  0.8720  0.3720  0.5000
Rh  0.0000  0.0000  0.5000
Rh  0.5000  0.5000  0.5000

Properties
magnetization: 0.0 μB per formula unit

***

Version C
VASP calculation (PBE-GGA) on a geometry-optimized Hf2Pd2Rh structure.

Lattice parameters (Å, degrees): 8.0506 8.0506 3.2257 90.00 90.00 154.55
Fractional positions:
Hf  0.1032  0.8968  0.0000
Hf  0.8968  0.1032  0.0000
Pd  0.3155  0.6845  0.5000
Pd  0.6845  0.3155  0.5000
Rh  0.5000  0.5000  0.5000

Properties
magnetization: 0.0 μB per formula unit

***

Most stable pick: version C. Distance to second place: 119 meV per atom.